Computed, not measured: an optimized crystal structure of ZrPPtCl2 at the PBE level of DFT.

Unit cell a=4.7206 b=4.7206 c=4.8875 alpha=90.00 beta=90.00 gamma=90.00
Fractional coordinates of all 5 atoms:
Zr (0.5000, 0.5000, 0.5000)
Pt (0.0000, 0.0000, 0.0000)
Cl (0.5000, 0.0000, 0.0000)
Cl (0.0000, 0.5000, 0.0000)
P (0.0000, 0.0000, 0.5000)

The density of states at the Fermi level is 5.5 states/eV/cell. As for the raw formation energy: 0.27 eV per atom. The energy comes out at -4.47 eV/atom. The energy above the most stable polymorph in this dataset is 219.8 meV/atom.

***

Computed, not measured: an optimized crystal structure of LuPuAlZn at the PBE level of DFT.

Unit cell a=5.0298 b=5.0298 c=5.0298 alpha=60.00 beta=60.00 gamma=60.00
Fractional coordinates of all 4 atoms:
Pu (0.7500, 0.7500, 0.7500)
Al (0.5000, 0.5000, 0.5000)
Zn (0.0000, 0.0000, 0.0000)
Lu (0.2500, 0.2500, 0.2500)

The density of states at the Fermi level is 6.7 states/eV/cell. The energy comes out at -6.17 eV/atom.

***

Computed, not measured: an optimized crystal structure of Na3As4Pt4 at the PBE level of DFT.

Unit cell a=6.7513 b=6.7513 c=6.7513 alpha=109.47 beta=109.47 gamma=109.47
Fractional coordinates of all 11 atoms:
Pt (0.0000, 0.2960, 0.0000)
Pt (0.7040, 0.7040, 0.7040)
Pt (0.0000, 0.0000, 0.2960)
Pt (0.2960, 0.0000, 0.0000)
As (0.0000, 0.6475, 0.0000)
As (0.6475, 0.0000, 0.0000)
As (0.0000, 0.0000, 0.6475)
As (0.3525, 0.3525, 0.3525)
Na (0.0000, 0.5000, 0.5000)
Na (0.5000, 0.5000, 0.0000)
Na (0.5000, 0.0000, 0.5000)

The density of states at the Fermi level is 6.8 states/eV/cell. The energy comes out at -4.65 eV/atom.

***

Computed, not measured: an optimized crystal structure of NaZrNpO6 at the PBE level of DFT.

Unit cell a=5.4881 b=5.4881 c=9.3784 alpha=90.00 beta=90.00 gamma=120.00
Fractional coordinates of all 18 atoms:
O (0.6536, 0.9507, 0.8736)
O (0.7029, 0.6536, 0.1264)
O (0.9507, 0.2971, 0.1264)
O (0.0493, 0.3464, 0.6264)
O (0.2971, 0.3464, 0.8736)
O (0.0493, 0.7029, 0.8736)
O (0.2971, 0.9507, 0.6264)
O (0.6536, 0.7029, 0.6264)
O (0.9507, 0.6536, 0.3736)
O (0.3464, 0.2971, 0.3736)
O (0.7029, 0.0493, 0.3736)
O (0.3464, 0.0493, 0.1264)
Np (0.3333, 0.6667, 0.7500)
Np (0.6667, 0.3333, 0.2500)
Na (0.6667, 0.3333, 0.7500)
Na (0.3333, 0.6667, 0.2500)
Zr (0.0000, 0.0000, 0.0000)
Zr (0.0000, 0.0000, 0.5000)

As for the raw formation energy: -2.60 eV per atom. The energy comes out at -8.44 eV/atom.

***

Computed, not measured: an optimized crystal structure of YSbTe4 at the PBE level of DFT.

Unit cell a=6.3054 b=6.3054 c=6.3054 alpha=60.00 beta=60.00 gamma=60.00
Fractional coordinates of all 6 atoms:
Y (0.7500, 0.7500, 0.7500)
Te (0.3754, 0.3754, 0.3754)
Te (0.3754, 0.8739, 0.3754)
Te (0.8739, 0.3754, 0.3754)
Te (0.3754, 0.3754, 0.8739)
Sb (0.0000, 0.0000, 0.0000)

The density of states at the Fermi level is 3.7 states/eV/cell. As for the raw formation energy: 0.12 eV per atom. The energy comes out at -3.73 eV/atom.

***

Computed, not measured: an optimized crystal structure of LaPrInSn at the PBE level of DFT.

Unit cell a=5.5594 b=5.5594 c=5.5594 alpha=60.00 beta=60.00 gamma=60.00
Fractional coordinates of all 4 atoms:
Sn (0.2500, 0.2500, 0.2500)
Pr (0.5000, 0.5000, 0.5000)
In (0.7500, 0.7500, 0.7500)
La (0.0000, 0.0000, 0.0000)

The density of states at the Fermi level is 2.6 states/eV/cell. The energy comes out at -4.68 eV/atom. The energy above the most stable polymorph in this dataset is 79.3 meV/atom.

***

Computed, not measured: an optimized crystal structure of Ho6Ga3Ir at the PBE level of DFT.

Unit cell a=4.9869 b=8.5993 c=11.4538 alpha=90.00 beta=90.00 gamma=90.00
Fractional coordinates of all 20 atoms:
Ho (0.4999, 0.1797, 0.5830)
Ho (0.5002, 0.5046, 0.7459)
Ho (0.5001, 0.8203, 0.4170)
Ho (0.0001, 0.6591, 0.5866)
Ho (0.4998, 0.4954, 0.2541)
Ho (0.5001, 0.8409, 0.0866)
Ho (0.9998, 0.0046, 0.7542)
Ho (0.4999, 0.1591, 0.9134)
Ho (0.9999, 0.3203, 0.0829)
Ho (0.9999, 0.3409, 0.4134)
Ho (0.0001, 0.6797, 0.9171)
Ho (0.0002, 0.9954, 0.2458)
Ga (0.0000, 0.0000, 0.5000)
Ga (0.0002, 0.3389, 0.7648)
Ga (0.5002, 0.1611, 0.2647)
Ga (0.4998, 0.8389, 0.7353)
Ga (0.5000, 0.5000, 0.0000)
Ga (0.9998, 0.6611, 0.2352)
Ir (0.5000, 0.5000, 0.5000)
Ir (0.0000, 0.0000, 0.0000)

The density of states at the Fermi level is 12.6 states/eV/cell. The energy comes out at -5.07 eV/atom.

***

Computed, not measured: an optimized crystal structure of Mg2ReSb at the PBE level of DFT.

Unit cell a=5.3121 b=5.3121 c=5.3121 alpha=140.05 beta=128.22 gamma=67.33
Fractional coordinates of all 4 atoms:
Mg (0.7451, 0.2451, 0.5000)
Mg (0.0009, 0.0009, 0.0000)
Re (0.4920, 0.4920, 0.0000)
Sb (0.2619, 0.7619, 0.5000)

The density of states at the Fermi level is 1.3 states/eV/cell. As for the raw formation energy: 0.27 eV per atom. The energy comes out at -4.67 eV/atom.